This record from Alexandria describes ScNi2Ag after structural relaxation. The functional is GGA-PBE.

a b c (Å): 3.0968 3.3748 5.7240
angles (deg): 90.00 90.17 90.00
Last column: nearest neighbours and their distance in Å.
Space group P2/m (No. 10)
Asymmetric unit:
Sc: 0.0000 0.0000 0.0000  8 Ni 2.68, 2 Ag 2.86
Ni: 0.4999 0.5000 0.2436  4 Sc 2.68, 4 Ag 2.72, 2 Ni 2.79-2.94
Ag: 0.0000 0.0000 0.5000  8 Ni 2.72, 2 Sc 2.86

Density of states at the Fermi level: 2.279 states/eV/cell
E: -21.5 eV/cell

This record from Alexandria describes CaNdPb6 after structural relaxation. The functional is GGA-PBE.

a b c (Å): 4.8958 4.8958 10.0269
angles (deg): 90.00 90.00 90.00
Last column: nearest neighbours and their distance in Å.
Space group P4/mmm (No. 123)
Asymmetric unit:
Ca: 0.0000 0.0000 0.0000  12 Pb 3.46-3.49
Nd: 0.0000 0.0000 0.5000  12 Pb 3.46-3.52
Pb: 0.0000 0.5000 0.2480  8 Pb 3.46-3.52, 2 Ca 3.49, 2 Nd 3.52
Pb: 0.5000 0.5000 0.0000  4 Ca 3.46, 8 Pb 3.49
Pb: 0.5000 0.5000 0.5000  4 Nd 3.46, 8 Pb 3.52

Density of states at the Fermi level: 4.043 states/eV/cell
E: -31.8 eV/cell

This record from Alexandria describes CaSmZn2Pt2 after structural relaxation. The functional is GGA-PBE.

a b c (Å): 4.4297 4.4297 7.4564
angles (deg): 90.00 90.00 120.00
Last column: nearest neighbours and their distance in Å.
Space group P-3m1 (No. 164)
Asymmetric unit:
Ca: 0.0000 0.0000 0.0000  6 Zn 3.16, 6 Pt 3.22
Sm: 0.0000 0.0000 0.5000  6 Pt 3.11, 6 Zn 3.17
Zn: 0.3333 0.6667 0.7520  3 Pt 2.56
Pt: 0.3333 0.6667 0.2618  3 Zn 2.56

Density of states at the Fermi level: 5.258 states/eV/cell
E: -26.2 eV/cell

This record from Alexandria describes Y5Fe2Hg2 after structural relaxation. The functional is GGA-PBE.

a b c (Å): 16.5951 7.2942 7.3520
angles (deg): 90.00 90.00 90.00
Last column: nearest neighbours and their distance in Å.
Space group Cmce (No. 64)
Asymmetric unit:
Y: 0.0000 0.0000 0.0000  4 Fe 2.99-3.00
Y: 0.1250 0.1844 0.3180  3 Fe 3.00-3.02, 3 Hg 3.12-3.16
Fe: 0.0000 0.1028 0.6057  1 Fe 2.16
Hg: 0.2226 0.0000 0.0000  6 Y 3.12-3.16

Density of states at the Fermi level: 34.537 states/eV/cell
E: -207.0 eV/cell

This record from Alexandria describes LaTl after structural relaxation. The functional is GGA-PBE.

a b c (Å): 6.6188 6.6188 6.6188
angles (deg): 90.00 90.00 90.00
Last column: nearest neighbours and their distance in Å.
Space group Fm-3m (No. 225)
Asymmetric unit:
La: 0.0000 0.0000 0.0000  6 Tl 3.31
Tl: 0.0000 0.0000 0.5000  6 La 3.31

Density of states at the Fermi level: 20.830 states/eV/cell
E: -30.2 eV/cell

This record from Alexandria describes Fe6Ni3Pt2 after structural relaxation. The functional is GGA-PBE.

a b c (Å): 9.2148 12.1008 2.6322
angles (deg): 90.00 90.00 90.00
Last column: nearest neighbours and their distance in Å.
Space group Cmmm (No. 65)
Asymmetric unit:
Fe: 0.0000 0.1591 0.0000  2 Ni 2.39, 4 Fe 2.60-2.63
Fe: 0.2179 0.3466 0.0000  4 Fe 2.41-2.63, 2 Ni 2.42, 2 Pt 2.58
Ni: 0.0000 0.3242 0.5000  6 Fe 2.39-2.42, 4 Ni 2.50-2.63
Ni: 0.0000 0.5000 0.0000  6 Ni 2.50-2.63, 4 Fe 2.73
Pt: 0.1501 0.0000 0.5000  8 Fe 2.58-2.71, 3 Pt 2.63-2.77

Density of states at the Fermi level: 22.146 states/eV/cell
E: -156.2 eV/cell